Material: Cd4In5Hg6
Method: DFT, PBE
State: relaxed

DFT formation energy (eV/atom): 0.0246

Unit cell a=13.1383 b=13.1383 c=17.7232 alpha=90.00 beta=90.00 gamma=165.33
With the nearest neighbours (Å) after each atom.
Atoms (fractional coordinates):
Cd (0.0283, 0.9717, 0.5000)  5 Hg 3.12-3.18, 2 In 3.27, 2 Cd 3.35
Cd (0.0684, 0.9316, 0.2658)  6 Hg 3.06-3.15, 1 In 3.07, 2 Cd 3.35
Cd (0.1185, 0.8815, 0.8444)  5 Hg 3.01-3.16, 4 In 3.20-3.26, 2 Cd 3.35
Cd (0.2115, 0.7885, 0.4203)  6 Hg 3.07-3.20, 2 In 3.30, 2 Cd 3.35
Cd (0.7885, 0.2115, 0.9203)  6 Hg 3.07-3.20, 2 In 3.30, 2 Cd 3.35
Cd (0.8815, 0.1185, 0.3444)  5 Hg 3.01-3.16, 4 In 3.20-3.26, 2 Cd 3.35
Cd (0.9316, 0.0684, 0.7658)  6 Hg 3.06-3.15, 1 In 3.07, 2 Cd 3.35
Cd (0.9717, 0.0283, 0.0000)  5 Hg 3.12-3.18, 2 In 3.27, 2 Cd 3.35
In (0.1355, 0.8645, 0.1239)  1 Cd 3.07, 1 Hg 3.15, 7 In 3.24-3.35
In (0.2621, 0.7379, 0.1156)  4 Hg 3.05-3.19, 3 In 3.30-3.35
In (0.3151, 0.6849, 0.7650)  3 Hg 3.20-3.24, 4 In 3.28-3.35, 4 Cd 3.30-3.47
In (0.4012, 0.5988, 0.1935)  5 Hg 3.02-3.37, 2 Cd 3.20, 2 In 3.35
In (0.4209, 0.5791, 0.4910)  4 Hg 3.15-3.50, 4 In 3.24-3.35, 4 Cd 3.26-3.27
In (0.5791, 0.4209, 0.9910)  4 Hg 3.15-3.50, 4 In 3.24-3.35, 4 Cd 3.26-3.27
In (0.5988, 0.4012, 0.6935)  5 Hg 3.02-3.37, 2 Cd 3.20, 2 In 3.35
In (0.6849, 0.3151, 0.2650)  3 Hg 3.20-3.24, 4 In 3.28-3.35, 4 Cd 3.30-3.47
In (0.7379, 0.2621, 0.6156)  4 Hg 3.05-3.19, 3 In 3.30-3.35
In (0.8645, 0.1355, 0.6239)  1 Cd 3.07, 1 Hg 3.15, 7 In 3.24-3.35
Hg (0.1410, 0.8590, 0.5592)  2 Cd 3.07-3.12, 4 In 3.11-3.19, 4 Hg 3.32-3.35
Hg (0.1960, 0.8040, 0.9700)  3 Cd 3.01-3.07, 2 In 3.10-3.15, 2 Hg 3.35
Hg (0.2908, 0.7092, 0.2824)  4 In 3.05-3.28, 3 Cd 3.10-3.20, 2 Hg 3.35
Hg (0.3926, 0.6074, 0.9052)  6 Cd 3.14-3.20, 1 In 3.20, 5 Hg 3.32-3.42
Hg (0.4840, 0.5160, 0.3395)  4 Cd 3.06-3.16, 2 In 3.15-3.37, 3 Hg 3.35-3.42
Hg (0.4886, 0.5114, 0.6409)  2 In 3.02-3.19, 4 Cd 3.15-3.18, 2 Hg 3.35
Hg (0.5114, 0.4886, 0.1409)  2 In 3.02-3.19, 4 Cd 3.15-3.18, 2 Hg 3.35
Hg (0.5160, 0.4840, 0.8395)  4 Cd 3.06-3.16, 2 In 3.15-3.37, 3 Hg 3.35-3.42
Hg (0.6074, 0.3926, 0.4052)  6 Cd 3.14-3.20, 1 In 3.20, 5 Hg 3.32-3.42
Hg (0.7092, 0.2908, 0.7824)  4 In 3.05-3.28, 3 Cd 3.10-3.20, 2 Hg 3.35
Hg (0.8040, 0.1960, 0.4700)  3 Cd 3.01-3.07, 2 In 3.10-3.15, 2 Hg 3.35
Hg (0.8590, 0.1410, 0.0592)  2 Cd 3.07-3.12, 4 In 3.11-3.19, 4 Hg 3.32-3.35